Dy3Er3Cd | PBE-GGA | optimized geometry

Results
Electronic total energy (eV per atom): -4.095

Unit cell a=9.3249 b=9.3249 c=5.4827 alpha=90.00 beta=90.00 gamma=120.00
Space group P6_3/m (No. 176)
Unique sites:
Dy  0.1069  0.6290  0.2500 x6
Er  0.0614  0.8209  0.7500 x6
Cd  0.3333  0.6667  0.7500 x2